Entry 1:
Compound: Dy7ScIn4
Source: the Alexandria database
Functional: PBE-GGA
Structure: relaxed Values from VASP.

Structure (Quantum ESPRESSO input):
```
&SYSTEM
  ibrav = 0, nat = 12, ntyp = 3
/
ATOMIC_SPECIES
Dy 162.50 Dy.upf
Sc 44.96 Sc.upf
In 114.82 In.upf
CELL_PARAMETERS angstrom
-5.1981 1.0299 1.9697
-5.8457 -5.1149 -4.6394
-2.5737 -6.0121 4.4646
ATOMIC_POSITIONS crystal
Dy 0.7966 0.8782 0.5287
Dy 0.2034 0.1218 0.4713
Dy 0.0725 0.5880 0.2669
Dy 0.9275 0.4120 0.7331
Dy 0.2508 0.7076 0.7907
Dy 0.5000 0.0000 0.0000
Dy 0.7492 0.2924 0.2093
Sc 0.0000 0.0000 0.0000
In 0.5471 0.2945 0.6113
In 0.4529 0.7055 0.3887
In 0.6784 0.6577 0.9855
In 0.3216 0.3423 0.0145
```

Values from the calculation:
* SG: C2/m
* E_form: -9 kJ/mol of atoms
* Fermi-level density of states: 13.9 states/eV/f.u.
* M_tot: 0.000 μB/atom

---

Entry 2:
Compound: HfIrW
Source: the Alexandria database
Functional: PBE-GGA
Structure: relaxed Values from VASP.

Structure (Quantum ESPRESSO input):
```
&SYSTEM
  ibrav = 0, nat = 6, ntyp = 3
/
ATOMIC_SPECIES
Ir 192.22 Ir.upf
W 183.84 W.upf
Hf 178.49 Hf.upf
CELL_PARAMETERS angstrom
-0.3753 -0.1038 3.8147
3.6189 -1.2258 0.3227
0.7001 7.6299 -1.6508
ATOMIC_POSITIONS crystal
Ir 0.1342 0.1342 0.2683
Ir 0.8658 0.8658 0.7317
W 0.0000 0.5000 0.0000
W 0.5000 0.0000 0.0000
Hf 0.6809 0.6809 0.3617
Hf 0.3191 0.3191 0.6383
```

Values from the calculation:
* SG: I4/mmm
* E_form: -30 kJ/mol of atoms
* Fermi-level density of states: 3.5 states/eV/f.u.
* M_tot: 0.000 μB/atom

---

Entry 3:
Compound: Na4Cd5Rh
Source: the Alexandria database
Functional: PBE-GGA
Structure: relaxed Values from VASP.

Structure (Quantum ESPRESSO input):
```
&SYSTEM
  ibrav = 0, nat = 10, ntyp = 3
/
ATOMIC_SPECIES
Na 22.99 Na.upf
Cd 112.41 Cd.upf
Rh 102.91 Rh.upf
CELL_PARAMETERS angstrom
7.4090 -1.7750 2.2502
-4.8263 6.4892 -0.4367
0.1412 -2.5145 5.7377
ATOMIC_POSITIONS crystal
Na 0.3334 0.4289 0.4153
Na 0.8392 0.9622 0.6427
Na 0.0545 0.6309 0.5892
Na 0.5979 0.1926 0.9622
Cd 0.6406 0.6116 0.9463
Cd 0.7336 0.0561 0.2685
Cd 0.4298 0.1691 0.5431
Cd 0.1852 0.5140 0.0064
Cd 0.0536 0.8058 0.1664
Rh 0.1322 0.1185 0.9702
```

Values from the calculation:
* SG: P1
* E_form: -6 kJ/mol of atoms
* Fermi-level density of states: 5.1 states/eV/f.u.
* M_tot: 0.000 μB/atom

---

Entry 4:
Compound: Sr2CdRh
Source: the Alexandria database
Functional: PBE-GGA
Structure: relaxed Values from VASP.

Structure (Quantum ESPRESSO input):
```
&SYSTEM
  ibrav = 0, nat = 8, ntyp = 3
/
ATOMIC_SPECIES
Sr 87.62 Sr.upf
Cd 112.41 Cd.upf
Rh 102.91 Rh.upf
CELL_PARAMETERS angstrom
4.5184 0.0000 0.0000
0.0000 6.0188 -2.3343
0.0000 -0.0824 8.9614
ATOMIC_POSITIONS crystal
Sr 0.7500 0.2084 0.4429
Sr 0.2500 0.7916 0.5571
Sr 0.2500 0.7677 0.0855
Sr 0.7500 0.2324 0.9145
Cd 0.2500 0.3528 0.2172
Cd 0.7500 0.6472 0.7828
Rh 0.7500 0.6216 0.2812
Rh 0.2500 0.3784 0.7188
```

Values from the calculation:
* SG: P2_1/m
* E_form: -29 kJ/mol of atoms
* Fermi-level density of states: 2.1 states/eV/f.u.
* M_tot: 0.000 μB/atom

---

Entry 5:
Compound: Pa2MnBr8
Source: the Alexandria database
Functional: PBE-GGA
Structure: relaxed Values from VASP.

Structure (Quantum ESPRESSO input):
```
&SYSTEM
  ibrav = 0, nat = 11, ntyp = 3
/
ATOMIC_SPECIES
Pa 231.04 Pa.upf
Mn 54.94 Mn.upf
Br 79.90 Br.upf
CELL_PARAMETERS angstrom
7.5440 0.2145 0.1834
1.2758 7.8307 -0.8213
1.2758 0.4026 7.8634
ATOMIC_POSITIONS crystal
Pa 0.4980 0.1137 0.1137
Pa 0.5020 0.8863 0.8863
Mn 0.0000 0.0000 0.0000
Br 0.7591 0.1222 0.7840
Br 0.2409 0.2160 0.8778
Br 0.8043 0.2278 0.2278
Br 0.1957 0.7722 0.7722
Br 0.7591 0.7840 0.1222
Br 0.2409 0.8778 0.2160
Br 0.2981 0.3557 0.3557
Br 0.7019 0.6443 0.6443
```

Values from the calculation:
* SG: C2/m
* formation energy (no corrections): -1.086 eV per atom
* Fermi-level density of states: 7.8 states/eV/f.u.
* M_tot: 0.465 μB/atom

---

Entry 6:
Compound: MnReBr2
Source: the Alexandria database
Functional: PBE-GGA
Structure: relaxed Values from VASP.

Structure (Quantum ESPRESSO input):
```
&SYSTEM
  ibrav = 0, nat = 4, ntyp = 3
/
ATOMIC_SPECIES
Br 79.90 Br.upf
Mn 54.94 Mn.upf
Re 186.21 Re.upf
CELL_PARAMETERS angstrom
8.7582 0.0163 0.0096
8.1962 3.0869 0.0096
8.1962 1.5002 2.6979
ATOMIC_POSITIONS crystal
Br 0.0038 0.0038 0.0038
Br 0.4962 0.4962 0.4962
Mn 0.2500 0.2500 0.2500
Re 0.7500 0.7500 0.7500
```

Values from the calculation:
* energy above the most stable polymorph in this dataset: 747 meV per atom
* SG: R-3m
* formation energy (no corrections): 0.956 eV per atom
* Fermi-level density of states: 3.7 states/eV/f.u.
* M_tot: 0.975 μB/atom

---

Entry 7:
Compound: Pm3Nd12In
Source: the Alexandria database
Functional: PBE-GGA
Structure: relaxed Values from VASP.

Structure (Quantum ESPRESSO input):
```
&SYSTEM
  ibrav = 0, nat = 16, ntyp = 3
/
ATOMIC_SPECIES
Pm 145.00 Pm.upf
Nd 144.24 Nd.upf
In 114.82 In.upf
CELL_PARAMETERS angstrom
5.1149 0.0000 0.0000
0.0000 5.1149 0.0000
0.0000 0.0000 20.8297
ATOMIC_POSITIONS crystal
Pm 0.0000 0.0000 0.2471
Pm 0.0000 0.0000 0.5000
Pm 0.0000 0.0000 0.7529
Nd 0.5000 0.5000 0.0000
Nd 0.5000 0.5000 0.2452
Nd 0.5000 0.5000 0.5000
Nd 0.5000 0.5000 0.7548
Nd 0.5000 0.0000 0.1195
Nd 0.5000 0.0000 0.3732
Nd 0.5000 0.0000 0.6268
Nd 0.5000 0.0000 0.8805
Nd 0.0000 0.5000 0.1195
Nd 0.0000 0.5000 0.3732
Nd 0.0000 0.5000 0.6268
Nd 0.0000 0.5000 0.8805
In 0.0000 0.0000 0.0000
```

Values from the calculation:
* SG: P4/mmm
* E_form: -5 kJ/mol of atoms
* Fermi-level density of states: 23.1 states/eV/f.u.
* M_tot: 0.000 μB/atom

---

Entry 8:
Compound: SiPbW2
Source: the Alexandria database
Functional: PBE-GGA
Structure: relaxed Values from VASP.

Structure (Quantum ESPRESSO input):
```
&SYSTEM
  ibrav = 0, nat = 4, ntyp = 3
/
ATOMIC_SPECIES
Pb 207.20 Pb.upf
Si 28.09 Si.upf
W 183.84 W.upf
CELL_PARAMETERS angstrom
3.2919 0.0000 0.0000
0.0000 3.2919 0.0000
0.0000 0.0000 6.6021
ATOMIC_POSITIONS crystal
Pb 0.0000 0.0000 0.4987
Si 0.5000 0.5000 0.8147
W 0.0000 0.0000 0.9740
W 0.5000 0.5000 0.2126
```

Values from the calculation:
* energy above the most stable polymorph in this dataset: 0 meV per atom
* SG: P4mm
* formation energy (no corrections): 0.348 eV per atom
* Fermi-level density of states: 1.5 states/eV/f.u.
* M_tot: 0.000 μB/atom

---

Entry 9:
Compound: Te2S4F
Source: the Alexandria database
Functional: PBE-GGA
Structure: relaxed Values from VASP.

Structure (Quantum ESPRESSO input):
```
&SYSTEM
  ibrav = 0, nat = 14, ntyp = 3
/
ATOMIC_SPECIES
S 32.06 S.upf
Te 127.60 Te.upf
F 19.00 F.upf
CELL_PARAMETERS angstrom
2.1701 -6.2436 -4.2465
-0.9047 -4.4615 6.0979
-6.1043 4.4594 -2.4078
ATOMIC_POSITIONS crystal
S 0.8643 0.6088 0.7285
S 0.3857 0.1412 0.7715
S 0.8791 0.1339 0.2787
S 0.3996 0.1339 0.2787
S 0.8647 0.0999 0.7295
S 0.3709 0.6161 0.2213
S 0.8504 0.6161 0.2213
S 0.3853 0.6501 0.7705
Te 0.6250 0.8750 0.2500
Te 0.6250 0.3750 0.7500
Te 0.1250 0.3750 0.7500
Te 0.6250 0.3750 0.2500
F 0.2353 0.5038 0.4702
F 0.0147 0.2462 0.0298
```

Values from the calculation:
* SG: C2/m
* formation energy (no corrections): -0.099 eV per atom
* M_tot: 0.000 μB/atom

---

Entry 10:
Compound: Cs2NbCd
Source: the Alexandria database
Functional: PBE-GGA
Structure: relaxed Values from VASP.

Structure (Quantum ESPRESSO input):
```
&SYSTEM
  ibrav = 0, nat = 4, ntyp = 3
/
ATOMIC_SPECIES
Cs 132.91 Cs.upf
Nb 92.91 Nb.upf
Cd 112.41 Cd.upf
CELL_PARAMETERS angstrom
0.0000 4.3646 4.3646
4.3646 0.0000 4.3646
4.3646 4.3646 0.0000
ATOMIC_POSITIONS crystal
Cs 0.2500 0.2500 0.2500
Cs 0.7500 0.7500 0.7500
Nb 0.0000 0.0000 0.0000
Cd 0.5000 0.5000 0.5000
```

Values from the calculation:
* SG: Fm-3m
* E_form: 114 kJ/mol of atoms
* Fermi-level density of states: 0.4 states/eV/f.u.
* M_tot: 1.256 μB/atom

---

Entry 11:
Compound: MgInP2O8
Source: the Alexandria database
Functional: PBE-GGA
Structure: relaxed Values from VASP.

Structure (Quantum ESPRESSO input):
```
&SYSTEM
  ibrav = 0, nat = 12, ntyp = 4
/
ATOMIC_SPECIES
Mg 24.30 Mg.upf
In 114.82 In.upf
P 30.97 P.upf
O 16.00 O.upf
CELL_PARAMETERS angstrom
5.5967 0.0152 0.0000
-2.4686 5.0228 0.0000
-1.5640 -2.5190 4.7467
ATOMIC_POSITIONS crystal
Mg 0.2500 0.7500 0.5000
In 0.0000 0.0000 0.0000
P 0.7500 0.2500 0.5000
P 0.5000 0.5000 0.0000
O 0.4061 0.0845 0.3217
O 0.3373 0.5189 0.1816
O 0.3373 0.1557 0.8184
O 0.7628 0.0845 0.6783
O 0.8443 0.6627 0.1816
O 0.9155 0.2372 0.3217
O 0.9155 0.5939 0.6783
O 0.4811 0.6627 0.8184
```

Values from the calculation:
* SG: I-4m2
* formation energy (no corrections): -2.016 eV per atom
* Fermi-level density of states: 9.3 states/eV/f.u.
* M_tot: 0.085 μB/atom